A plane-wave DFT calculation with PBE-GGA was carried out for Li2SmAsN after structural relaxation.

## Properties
The calculation puts the calculated total energy at -50.7 eV/cell. As for the density of states at the Fermi level: 0.5679 states/eV per atom. As for the space group: No. 140. The calculation puts the calculated volume at 16.82 A^3/atom. As for the formation energy (no corrections): -0.77 eV/atom.

The structure in POSCAR format:
```
Li2SmAsN
1.0
5.966 0.000 0.000
0.000 5.966 0.000
-2.983 -2.983 4.726
Li Sm As N
4 2 2 2
direct
0.296 0.796 0.000
0.796 0.705 0.000
0.705 0.205 0.000
0.205 0.296 0.000
0.750 0.750 0.500
0.250 0.250 0.500
0.750 0.250 0.500
0.250 0.750 0.500
0.000 0.000 0.000
0.500 0.500 0.000
```



A plane-wave DFT calculation with PBE-GGA was carried out for Li2SnAsN after structural relaxation.

## Properties
The calculation puts the calculated total energy at -21.8 eV/cell. As for the density of states at the Fermi level: 0.3711 states/eV per atom. As for the space group: No. 99. The calculation puts the calculated volume at 14.99 A^3/atom. As for the formation energy (no corrections): -0.20 eV/atom.

The structure in POSCAR format:
```
Li2SnAsN
1.0
4.139 0.000 0.000
0.000 4.139 0.000
0.000 0.000 4.375
Li Sn As N
2 1 1 1
direct
0.000 0.500 0.000
0.500 0.000 0.000
0.000 0.000 0.498
0.500 0.500 0.504
0.000 0.000 0.998
```



A plane-wave DFT calculation with PBE-GGA was carried out for Sr2LiAsN after structural relaxation.

## Properties
The calculation puts the calculated total energy at -21.7 eV/cell. As for the density of states at the Fermi level: 0.9170 states/eV per atom. As for the space group: No. 123. The calculation puts the calculated volume at 22.21 A^3/atom. As for the formation energy (no corrections): -0.69 eV/atom.

The structure in POSCAR format:
```
Sr2LiAsN
1.0
-4.589 1.935 1.557
0.686 -2.156 4.702
1.866 3.393 1.283
Sr As Li N
2 1 1 1
direct
0.000 0.500 0.000
0.500 0.000 0.000
0.500 0.500 0.500
0.000 0.000 0.500
0.000 0.000 0.000
```



A plane-wave DFT calculation with PBE-GGA was carried out for Li2TbAsN after structural relaxation.

## Properties
The calculation puts the calculated total energy at -51.0 eV/cell. As for the density of states at the Fermi level: 0.5525 states/eV per atom. As for the space group: No. 140. The calculation puts the calculated volume at 16.13 A^3/atom. As for the formation energy (no corrections): -0.81 eV/atom.

The structure in POSCAR format:
```
Li2TbAsN
1.0
5.892 -0.001 0.000
-0.001 5.892 0.000
-2.945 -2.946 4.647
Li Tb As N
4 2 2 2
direct
0.288 0.788 0.000
0.788 0.712 0.000
0.712 0.212 0.000
0.212 0.288 0.000
0.750 0.750 0.500
0.250 0.250 0.500
0.750 0.250 0.500
0.250 0.750 0.500
0.000 0.000 0.000
0.500 0.500 0.000
```



A plane-wave DFT calculation with PBE-GGA was carried out for LiTeAsN2 after structural relaxation.

## Properties
Its energy above the most stable polymorph in this dataset is 654.7 meV per atom. The calculation puts the calculated total energy at -18.1 eV/cell. As for the density of states at the Fermi level: 0.2270 states/eV per atom. As for the space group: No. 123. The calculation puts the calculated volume at 17.97 A^3/atom. As for the formation energy (no corrections): 1.66 eV/atom.

The structure in POSCAR format:
```
LiTeAsN2
1.0
-0.102 -1.800 -3.669
4.019 0.620 -0.416
0.973 -4.757 2.307
As Te Li N
1 1 1 2
direct
0.500 0.500 0.500
0.000 0.000 0.500
0.000 0.000 0.000
0.000 0.500 0.000
0.500 0.000 0.000
```



A plane-wave DFT calculation with PBE-GGA was carried out for LiTeAsN2 after structural relaxation.

## Properties
Its energy above the most stable polymorph in this dataset is 0.0 meV per atom. The calculation puts the calculated total energy at -21.3 eV/cell. As for the density of states at the Fermi level: 0.7795 states/eV per atom. As for the space group: No. 123. The calculation puts the calculated volume at 17.18 A^3/atom. As for the formation energy (no corrections): 1.00 eV/atom.

The structure in POSCAR format:
```
LiTeAsN2
1.0
-3.658 0.467 0.886
0.007 -3.343 1.791
1.577 2.723 5.075
As Te Li N
1 1 1 2
direct
0.000 0.000 0.000
0.000 0.000 0.500
0.500 0.500 0.500
0.000 0.500 0.000
0.500 0.000 0.000
```



A plane-wave DFT calculation with PBE-GGA was carried out for LiThAsN after structural relaxation.

## Properties
The calculation puts the calculated total energy at -53.7 eV/cell. As for the density of states at the Fermi level: 0.7220 states/eV per atom. As for the space group: No. 129. The calculation puts the calculated volume at 19.04 A^3/atom. As for the formation energy (no corrections): -1.13 eV/atom.

The structure in POSCAR format:
```
LiThAsN
1.0
-3.029 0.649 -2.642
0.420 -3.795 -1.413
-6.067 -2.989 6.222
Li Th As N
2 2 2 2
direct
0.000 0.000 0.500
0.500 0.500 0.500
0.000 0.500 0.871
0.500 0.000 0.129
0.500 0.000 0.679
0.000 0.500 0.321
0.500 0.500 0.000
0.000 0.000 0.000
```



A plane-wave DFT calculation with PBE-GGA was carried out for Li2ThAsN4 after structural relaxation.

## Properties
The calculation puts the calculated total energy at -53.2 eV/cell. As for the density of states at the Fermi level: 0.6079 states/eV per atom. As for the space group: No. 121. The calculation puts the calculated volume at 11.87 A^3/atom. As for the formation energy (no corrections): -0.50 eV/atom.

The structure in POSCAR format:
```
Li2ThAsN4
1.0
5.398 0.000 0.000
2.699 4.183 -0.627
2.699 -0.160 4.227
Li Th As N
2 1 1 4
direct
0.500 0.750 0.250
0.500 0.250 0.750
0.000 0.000 0.000
0.000 0.500 0.500
0.602 0.543 0.854
0.398 0.146 0.457
0.000 0.457 0.146
0.000 0.854 0.543
```